[1]
CaAuCl: relaxed, PBE.

a = 7.0114 Å, b = 7.0114 Å, c = 7.0114 Å
α = 151.22°, β = 151.22°, γ = 41.16°
Last column: nearest neighbours and their distance in Å.
Sites, in units of the cell vectors:
Ca (0.0000, 0.0000, 0.0000)  4 Cl 2.88, 4 Au 3.08
Au (0.6408, 0.6408, 0.0000)  4 Ca 3.08, 1 Cl 3.34
Cl (0.3863, 0.3863, 0.0000)  4 Ca 2.88

Results
Formation energy from raw total energies   -1237 meV per atom
M_tot   0.00 μB/f.u.
SG   I4mm, No. 107
Uncorrected energy   -3.612 eV per atom


[2]
RbLiPAu2: relaxed, PBE.

a = 4.9967 Å, b = 4.9967 Å, c = 4.8825 Å
α = 90.00°, β = 90.00°, γ = 90.00°
Last column: nearest neighbours and their distance in Å.
Sites, in units of the cell vectors:
Rb (0.0000, 0.0000, 0.0000)  8 Au 3.49, 4 Li 3.53
Li (0.5000, 0.5000, 0.0000)  2 P 2.44
P (0.5000, 0.5000, 0.5000)  2 Li 2.44, 4 Au 2.50
Au (0.0000, 0.5000, 0.5000)  2 P 2.50
Au (0.5000, 0.0000, 0.5000)  2 P 2.50

Results
M_tot   0.00 μB/f.u.
SG   P4/mmm, No. 123
Uncorrected energy   -3.245 eV per atom


[3]
GdTm2C: relaxed, PBE.

a = 9.7441 Å, b = 9.7441 Å, c = 9.7441 Å
α = 20.64°, β = 20.64°, γ = 20.64°
Last column: nearest neighbours and their distance in Å.
Sites, in units of the cell vectors:
Gd (0.0000, 0.0000, 0.0000)  2 Tm 3.44, 6 Gd 3.49
Tm (0.1203, 0.1203, 0.1203)  3 C 2.41
Tm (0.8797, 0.8797, 0.8797)  3 C 2.41
C (0.5000, 0.5000, 0.5000)  6 Tm 2.41

Results
M_tot   7.89 μB/f.u.
SG   R-3m, No. 166
Uncorrected energy   -8.194 eV per atom


[4]
MgZn2FeP: relaxed, PBE.

a = 4.6801 Å, b = 4.6801 Å, c = 4.1206 Å
α = 90.00°, β = 90.00°, γ = 90.00°
Last column: nearest neighbours and their distance in Å.
Sites, in units of the cell vectors:
Mg (0.0000, 0.0000, 0.0000)  8 Zn 3.12, 4 P 3.31
Zn (0.0000, 0.5000, 0.5000)  2 Fe 2.34
Zn (0.5000, 0.0000, 0.5000)  2 Fe 2.34
Fe (0.5000, 0.5000, 0.5000)  2 P 2.06
P (0.5000, 0.5000, 0.0000)  2 Fe 2.06

Results
M_tot   0.00 μB/f.u.
SG   P4/mmm, No. 123
Uncorrected energy   -3.485 eV per atom


The highest uncorrected energy belongs to which entry?
RbLiPAu2


Look up the M_tot of the third one.
7.89 μB/f.u.


Look up the uncorrected energy of the third one.
-8.194 eV per atom


Which value of uncorrected energy does entry 2 give?
-3.245 eV per atom